ZrAs2Pb (PBE-GGA, optimized geometry); electronic total energy = -22.1 eV per formula unit
1.0
-1.449 4.556 -1.144
-1.836 -1.651 -4.251
-3.177 -0.607 1.608
Pb As Zr
1 2 1
Cartesian
-2.313 1.975 0.232 Pb
0.000 0.000 0.000 As
-1.642 1.453 -2.697 As
-2.506 -1.129 -1.322 Zr